Below is an optimized crystal structure of CsNiHF6, with properties calculated at the PBE+U level.

As for the total energy: -3.776 eV/atom.

The space group is P1 (No. 1) and the conventional cell measures 5.011, 5.294 and 6.169 Å, with angles of 89.97, 89.95 and 69.13 degrees. The distinct sites, in fractional coordinates, are Cs at (0.000, 0.000, 0.000), Ni at (0.729, 0.684, 0.500), H at (0.241, 0.669, 0.500), F at (0.001, 0.840, 0.500), F at (0.460, 0.519, 0.499), F at (0.529, 0.914, 0.294), F at (0.531, 0.911, 0.707), F at (0.927, 0.462, 0.291) and F at (0.929, 0.459, 0.706).